Compound: Cu2SnOsAu
Source: the Alexandria database
Functional: PBE
Structure: relaxed

Cell: 4.661 5.082 4.661 Å, 90.00 90.00 90.00°
Atoms (fractional coordinates):
Au 0.000 0.000 0.000
Cu 0.000 0.000 0.500
Sn 0.000 0.500 0.000
Cu 0.500 0.000 0.000
Os 0.500 0.500 0.500

Computed properties:
Density   9.5 g/cm³
Magnetization   2.37 Bohr magnetons per cell
Space-group type   P4/mmm, No. 123
Energy of formation from the pure elements   1.5007 eV/atom